{"formula": "Li2CaZn", "functional": "PBE", "state": "relaxed", "magnetic_moment_mub_per_cell": 0.0, "final_energy_ev_per_atom": -1.80, "spacegroup": "P2/m, No. 10", "cell": [[3.651, 0.000, 0.000], [0.000, 4.933, 0.000], [-0.660, 0.000, 5.235]], "species": ["Li", "Li", "Ca", "Zn"], "frac_coords": [[0.184, 0.000, 0.296], [0.816, 0.000, 0.704], [0.500, 0.500, 0.000], [0.000, 0.500, 0.500]]}